Computed, not measured: a geometry-optimized TlAg5 structure at the PBE-GGA level of DFT.

Size of the total moment ... 0.00 μB/f.u.
VASP energy ... -2.70 eV/atom
Density ... 10722 kg/m3
Formation energy from the elements ... 73 meV/atom
Relative energy among the computed polymorphs ... 0.00 eV per formula unit

a = 5.2051 Å, b = 5.2051 Å, c = 4.9088 Å
α = 90.00°, β = 90.00°, γ = 120.00°
Space group P-62m (No. 189)
Asymmetric unit:
Tl  0.0000  0.0000  0.0000 x1
Ag  0.0000  0.6552  0.5000 x3
Ag  0.3333  0.6667  0.0000 x2


Computed, not measured: a geometry-optimized Tl3Ag structure at the PBE-GGA level of DFT.

Size of the total moment ... 0.00 μB/f.u.
VASP energy ... -2.36 eV/atom
Density ... 10874 kg/m3
Formation energy from the elements ... 123 meV/atom
Relative energy among the computed polymorphs ... 0.21 eV per formula unit

a = 5.365 Å, b = 5.365 Å, c = 3.825 Å
α = 90.00°, β = 90.00°, γ = 90.00°
Space group P4/mmm (No. 123)
Asymmetric unit:
Tl  0.000  0.000  0.000 x1
Tl  0.000  0.500  0.500 x2
Ag  0.500  0.500  0.000 x1


Computed, not measured: a geometry-optimized Tl3Ag structure at the PBE-GGA level of DFT.

Size of the total moment ... 0.00 μB/f.u.
VASP energy ... -2.34 eV/atom
Density ... 10894 kg/m3
Formation energy from the elements ... 145 meV/atom
Relative energy among the computed polymorphs ... 0.30 eV per formula unit

a = 7.604 Å, b = 7.604 Å, c = 7.604 Å
α = 90.00°, β = 90.00°, γ = 90.00°
Space group Fm-3m (No. 225)
Asymmetric unit:
Tl  0.000  0.000  0.000 x4
Tl  0.250  0.250  0.250 x8
Ag  0.000  0.000  0.500 x4


Computed, not measured: a geometry-optimized Tl5Ag3 structure at the PBE-GGA level of DFT.

Size of the total moment ... 0.00 μB/f.u.
VASP energy ... -2.41 eV/atom
Density ... 10972 kg/m3
Formation energy from the elements ... 136 meV/atom
Relative energy among the computed polymorphs ... 0.23 eV per formula unit

a = 8.455 Å, b = 9.657 Å, c = 4.988 Å
α = 90.00°, β = 90.00°, γ = 90.00°
Space group Cmmm (No. 65)
Asymmetric unit:
Tl  0.000  0.000  0.000 x2
Tl  0.219  0.500  0.500 x4
Tl  0.250  0.250  0.000 x4
Ag  0.000  0.234  0.500 x4
Ag  0.000  0.500  0.000 x2